An optimized crystal structure of CaTa2MnCu, computed with PBE.

Geometry as extended XYZ:
```
5
Lattice="4.677 0.000 0.000 0.000 4.677 0.000 0.000 0.000 4.952" Properties=species:S:1:pos:R:3 pbc="T T T"
Ca 0.000 0.000 0.000
Ta 0.000 2.339 2.476
Ta 2.339 0.000 2.476
Mn 2.339 2.339 0.000
Cu 0.000 0.000 2.476
```


An optimized crystal structure of Ca2MnTlCu, computed with PBE.

Geometry as extended XYZ:
```
5
Lattice="5.493 0.000 0.000 0.000 5.493 0.000 0.000 0.000 4.704" Properties=species:S:1:pos:R:3 pbc="T T T"
Ca 0.000 2.747 0.000
Ca 2.747 0.000 0.000
Mn 0.000 0.000 2.352
Tl 2.747 2.747 2.352
Cu 0.000 0.000 0.000
```


An optimized crystal structure of CaZrMnCu2, computed with PBE.

Geometry as extended XYZ:
```
5
Lattice="4.615 0.000 0.000 0.000 4.615 0.000 0.000 0.000 4.479" Properties=species:S:1:pos:R:3 pbc="T T T"
Ca 0.000 0.000 0.000
Zr 2.308 2.308 0.000
Mn 0.000 0.000 2.239
Cu 0.000 2.308 2.239
Cu 2.308 0.000 2.239
```


8
Lattice="-4.018 4.018 2.999 4.018 -4.018 2.999 4.018 4.018 -2.999" Properties=species:S:1:pos:R:3 comment="Ca2CuMo, optimized geometry, DFT PBE" relative_energy_mev_per_atom=409 pbc="T T T"
Ca 6.028 1.713 -0.750
Ca 1.713 2.009 0.750
Ca -2.009 2.306 2.249
Ca 2.306 2.009 3.749
Cu 0.000 0.000 0.000
Cu 0.000 4.018 1.500
Mo 4.018 0.000 1.500
Mo 0.000 0.000 2.999


5
Lattice="5.454 0.000 0.000 0.000 5.454 0.000 0.000 0.000 5.454" Properties=species:S:1:pos:R:3 comment="Ca3CuMo, optimized geometry, DFT PBE" relative_energy_mev_per_atom=0 pbc="T T T"
Ca 0.000 0.000 2.727
Ca 0.000 2.727 0.000
Ca 2.727 0.000 0.000
Cu 0.000 0.000 0.000
Mo 2.727 2.727 2.727


8
Lattice="-2.319 2.319 8.811 2.319 -2.319 8.811 2.319 2.319 -8.811" Properties=species:S:1:pos:R:3 comment="CaCu2Mo, optimized geometry, DFT PBE" relative_energy_mev_per_atom=566 pbc="T T T"
Ca 0.000 0.000 0.000
Ca 0.000 2.319 4.405
Cu 1.159 -0.242 6.608
Cu 2.077 1.159 2.203
Cu 1.159 2.560 -2.203
Cu 0.242 1.159 11.013
Mo 2.319 0.000 4.405
Mo 0.000 0.000 8.811


| no. | energy of formation from the pure elements (eV/atom) |
| --- | --- |
| 1 | 1.5735 |
| 2 | 0.1923 |
| 3 | 1.0105 |
| 4 | 0.8745 |
| 5 | 0.7601 |
| 6 | 0.8993 |